1.
This record from Alexandria describes a relaxed MnCu4Sn crystal. The functional is PBE.

extended XYZ file:
```
6
Lattice="-1.4156 -4.1075 2.3668 2.4524 -1.5059 4.0242 -2.1251 0.3206 4.4562" Properties=species:S:1:pos:R:3 pbc="T T T"
Mn -0.2721 -1.3234 2.7117
Sn -1.4155 -4.1073 2.3668
Cu -0.6795 -3.3050 6.7735
Cu -1.9004 -2.5554 4.7702
Cu 0.3784 -3.4646 4.5552
Cu 0.0251 -1.2605 5.5953
```

Values from the calculation:
The calculated total energy is -29.28 eV/cell. The formation energy is 0.05 eV per atom.

2.
This record from Alexandria describes a relaxed Sr2InH crystal. The functional is PBE.

extended XYZ file:
```
4
Lattice="3.6505 0.0000 0.0000 0.0000 3.6505 0.0000 0.0000 0.0000 8.3115" Properties=species:S:1:pos:R:3 pbc="T T T"
Sr 0.0000 0.0000 6.4369
Sr 0.0000 0.0000 1.8746
H 1.8253 1.8253 0.0000
In 1.8253 1.8253 4.1557
```

Values from the calculation:
The calculated total energy is -10.07 eV/cell. The value obtained for the excess energy over the best structure of this formula in the dataset is 0.129 eV per atom.

3.
This record from Alexandria describes a relaxed Nd4Sm5Dy crystal. The functional is PBE.

extended XYZ file:
```
20
Lattice="-2.3812 -0.5357 -5.2914 -1.8176 -10.5156 1.8825 -9.7149 2.4180 4.1271" Properties=species:S:1:pos:R:3 pbc="T T T"
Nd -8.3624 1.3677 -0.4340
Nd -2.7890 -7.7635 -2.0165
Nd -2.0399 -3.4295 -2.7924
Nd -4.3647 0.3727 -2.1323
Nd -3.7828 -4.9572 -0.1543
Nd -7.1760 -7.3365 1.6125
Nd -6.1076 -1.1550 0.5058
Nd -9.5000 -3.5342 2.2745
Sm -10.0596 -6.8768 4.1632
Sm -8.8299 0.2376 2.8895
Sm -3.2888 -5.7932 -4.3475
Sm -3.4893 -8.5122 1.3720
Sm -2.2596 -1.3977 0.0983
Sm -6.4758 -6.5879 -1.7760
Sm -5.8879 -3.1868 -2.3849
Sm -4.8586 1.2087 2.0609
Sm -9.0325 -2.4041 -1.0490
Sm -9.6203 -5.8052 -0.4402
Dy -1.5095 -0.3396 -3.3542
Dy -6.6380 -4.2449 1.0676
```

Values from the calculation:
The calculated total energy is -90.94 eV/cell. The value obtained for the excess energy over the best structure of this formula in the dataset is 0.166 eV per atom. The formation energy is 0.18 eV per atom.